Below is an optimized crystal structure of KIrPb, with properties calculated at the GGA-PBE level.

Structure (extended XYZ):
```
3
Lattice="-1.7388 1.7388 6.5512 1.7388 -1.7388 6.5512 1.7388 1.7388 -6.5512" Properties=species:S:1:pos:R:3 pbc="T T T"
K 0.0000 0.0000 0.0000
Ir 0.0000 0.0000 4.1956
Pb 0.0000 0.0000 9.3979
```

Total energy = -12.720 eV per cell
Density of states at the Fermi level = 0.627 states/eV per atom
Energy of formation from the pure elements = 0.316 eV per atom
Mass density = 9.19 g cm⁻³
Crystal system = tetragonal



Below is an optimized crystal structure of Ca6Al3Si8N18, with properties calculated at the GGA-PBE level.

Structure (extended XYZ):
```
35
Lattice="7.5801 0.0000 0.0000 1.3143 7.4762 0.0000 1.1687 1.2089 7.4688" Properties=species:S:1:pos:R:3 pbc="T T T"
Ca 0.0000 0.0000 0.0000
Ca 1.8991 7.3136 4.6102
Ca 3.6427 2.3283 2.8480
Ca 4.3857 2.7997 7.2269
Ca 6.1333 4.3718 2.1931
Ca 7.0338 5.0633 5.3720
Al 1.5389 4.8327 2.4825
Al 3.9452 6.7771 2.1526
Al 4.9772 7.6053 5.0038
Si 9.3718 4.9626 7.1870
Si 1.5334 2.8494 5.0011
Si 3.8211 4.7299 4.7294
Si 3.5100 4.6423 0.0626
Si 7.2155 7.5631 7.1669
Si 6.0270 2.0711 4.7253
Si 7.0283 7.3622 2.5555
Si 8.0380 1.9123 2.2370
N 2.4073 4.0061 3.9721
N 1.8862 0.9862 1.9267
N 2.4344 1.4422 5.3990
N 2.7600 5.6088 1.2847
N 3.4578 5.0783 6.4659
N 4.1203 6.2563 3.9711
N 4.3304 3.4227 0.9407
N 5.7388 6.8053 6.5271
N 5.1802 3.6166 4.5809
N 5.7288 6.7480 1.4254
N 5.0636 0.8008 3.9194
N 6.2314 1.5383 6.3282
N 6.6443 1.0718 1.7603
N 7.8522 5.9776 3.2055
N 8.5716 6.4955 6.8747
N 7.6804 2.3207 3.9964
N 8.6039 3.6540 6.4097
N 8.2584 3.4823 1.4606
```

Total energy = -257.745 eV per cell
Density of states at the Fermi level = 0.052 states/eV per atom
Mass density = 3.13 g cm⁻³
Formation energy (no corrections) = -1.18 eV/atom
Crystal system = triclinic



Below is an optimized crystal structure of Pm3As, with properties calculated at the GGA-PBE level.

Structure (extended XYZ):
```
4
Lattice="4.7505 0.0000 0.0000 0.0000 4.7505 0.0000 0.0000 0.0000 4.7505" Properties=species:S:1:pos:R:3 pbc="T T T"
Pm 0.0000 0.0000 2.3752
Pm 0.0000 2.3752 0.0000
Pm 2.3752 0.0000 0.0000
As 2.3752 2.3752 2.3752
```

Total energy = -20.830 eV per cell
Density of states at the Fermi level = 0.881 states/eV per atom
Energy of formation from the pure elements = -0.482 eV per atom
Mass density = 7.90 g cm⁻³
Crystal system = cubic